VASP calculation (GGA+U) on a relaxed structure of Na2MnMoO4.

Cell and atoms, written as POSCAR:
```
Na2MnMoO4
1.0
3.158 0.000 0.000
0.000 5.428 0.106
0.000 -1.896 5.351
Mo Na O Mn
1 2 4 1
direct
0.500 0.500 0.000
0.000 0.500 0.500
0.500 0.000 0.500
0.500 0.222 0.202
0.000 0.752 0.202
0.000 0.248 0.798
0.500 0.778 0.798
0.000 0.000 0.000
```

Final energy, eV per atom: -6.141